Compound: BaGe3Br
Source: Alexandria via LeMat-Bulk
Functional: PBE-GGA
Structure: relaxed

Unit cell a=5.3441 b=5.3441 c=5.3441 alpha=90.00 beta=90.00 gamma=90.00
Fractional coordinates of all 5 atoms:
Ba1 0.0000 0.0000 0.0000
Ge1 0.0000 0.5000 0.5000
Ge2 0.5000 0.0000 0.5000
Ge3 0.5000 0.5000 0.0000
Br1 0.5000 0.5000 0.5000

Calculated values
raw formation energy = 1.6 eV per formula unit
volume = 30.53 Å³ per atom
E_tot = -3.169 eV per atom
energy relative to the lowest polymorph listed for this composition = 0.0 kJ per mole of atoms
crystal system = cubic
magnetization = 0.00 μB per formula unit


Compound: Ba6GeBr5
Source: Alexandria via LeMat-Bulk
Functional: PBE-GGA
Structure: relaxed

Unit cell a=8.2790 b=8.2790 c=8.3133 alpha=99.52 beta=99.52 gamma=119.97
Fractional coordinates of all 12 atoms:
Ba1 0.0792 0.3973 0.7378
Ba2 0.2383 0.2383 0.2606
Ba3 0.3973 0.0792 0.7378
Ba4 0.6027 0.9208 0.2622
Ba5 0.7617 0.7617 0.7394
Ba6 0.9208 0.6027 0.2622
Ge1 0.0000 0.0000 0.5000
Br1 0.1681 0.8319 0.0000
Br2 0.3335 0.6665 0.5000
Br3 0.5000 0.5000 0.0000
Br4 0.6665 0.3335 0.5000
Br5 0.8319 0.1681 0.0000

Calculated values
raw formation energy = -17.9 eV per formula unit
volume = 38.82 Å³ per atom
E_tot = -3.537 eV per atom
crystal system = monoclinic
magnetization = 0.00 μB per formula unit


Compound: BaGeBr3
Source: Alexandria via LeMat-Bulk
Functional: PBE-GGA
Structure: relaxed

Unit cell a=6.2548 b=6.2548 c=6.2548 alpha=90.00 beta=90.00 gamma=90.00
Fractional coordinates of all 5 atoms:
Ba1 0.0000 0.0000 0.0000
Ge1 0.5000 0.5000 0.5000
Br1 0.0000 0.0000 0.5000
Br2 0.0000 0.5000 0.0000
Br3 0.5000 0.0000 0.0000

Calculated values
raw formation energy = -3.5 eV per formula unit
volume = 48.94 Å³ per atom
E_tot = -3.020 eV per atom
energy relative to the lowest polymorph listed for this composition = 25.0 kJ per mole of atoms
crystal system = cubic
magnetization = 1.00 μB per formula unit


Compound: Ba3GeBr2
Source: Alexandria via LeMat-Bulk
Functional: PBE-GGA
Structure: relaxed

Unit cell a=16.1632 b=15.4163 c=8.4594 alpha=79.40 beta=69.64 gamma=30.96
Fractional coordinates of all 24 atoms:
Ba1 0.0328 0.5390 0.1894
Ba2 0.0957 0.6543 0.6543
Ba3 0.1894 0.7388 0.0328
Ba4 0.2612 0.8106 0.4610
Ba5 0.3457 0.9043 0.9043
Ba6 0.4610 0.9672 0.2612
Ba7 0.5390 0.0328 0.7388
Ba8 0.6543 0.0957 0.0957
Ba9 0.7388 0.1894 0.5390
Ba10 0.8106 0.2612 0.9672
Ba11 0.9043 0.3457 0.3457
Ba12 0.9672 0.4610 0.8106
Ge1 0.0413 0.0413 0.2087
Ge2 0.2087 0.2087 0.0413
Ge3 0.7913 0.7913 0.9587
Ge4 0.9587 0.9587 0.7913
Br1 0.1267 0.1267 0.6233
Br2 0.2953 0.2953 0.4547
Br3 0.3767 0.3767 0.8733
Br4 0.4547 0.4547 0.2953
Br5 0.5453 0.5453 0.7047
Br6 0.6233 0.6233 0.1267
Br7 0.7047 0.7047 0.5453
Br8 0.8733 0.8733 0.3767

Calculated values
raw formation energy = -8.3 eV per formula unit
volume = 41.15 Å³ per atom
E_tot = -3.669 eV per atom
crystal system = orthorhombic
magnetization = 0.00 μB per formula unit


> The highest magnetization belongs to which entry?

BaGeBr3


> Among the records above, which one has the highest magnetization?

BaGeBr3


> Among the records above, which one has the lowest volume?

BaGe3Br


What did the second record say?
Compound: Ba6GeBr5
Source: Alexandria via LeMat-Bulk
Functional: PBE-GGA
Structure: relaxed

Unit cell a=8.2790 b=8.2790 c=8.3133 alpha=99.52 beta=99.52 gamma=119.97
Fractional coordinates of all 12 atoms:
Ba1 0.0792 0.3973 0.7378
Ba2 0.2383 0.2383 0.2606
Ba3 0.3973 0.0792 0.7378
Ba4 0.6027 0.9208 0.2622
Ba5 0.7617 0.7617 0.7394
Ba6 0.9208 0.6027 0.2622
Ge1 0.0000 0.0000 0.5000
Br1 0.1681 0.8319 0.0000
Br2 0.3335 0.6665 0.5000
Br3 0.5000 0.5000 0.0000
Br4 0.6665 0.3335 0.5000
Br5 0.8319 0.1681 0.0000

Calculated values
raw formation energy = -17.9 eV per formula unit
volume = 38.82 Å³ per atom
E_tot = -3.537 eV per atom
crystal system = monoclinic
magnetization = 0.00 μB per formula unit